(1)
This record from Alexandria via LeMat-Bulk describes Si2AgRh after structural relaxation. The functional is PBE.

Raw formation energy   0.30 eV/f.u.
Volume   14.73 A^3/atom
Magnetic moment   0.00 μB/cell
Space group   Cmmm

Structure (CIF):
```
data_Si2AgRh
_space_group_name_H-M_alt 'P 1'
_space_group_IT_number 1
_space_group_name_Hall 'P 1'
_cell_length_a 4.3956
_cell_length_b 4.3956
_cell_length_c 3.0493
_cell_angle_alpha 90.00
_cell_angle_beta 90.00
_cell_angle_gamma 90.12
loop_
_atom_site_label
_atom_site_type_symbol
_atom_site_fract_x
_atom_site_fract_y
_atom_site_fract_z
Si1 Si 0.0000 0.5000 0.0000
Si2 Si 0.5000 0.0000 0.0000
Ag1 Ag 0.0000 0.0000 0.5000
Rh1 Rh 0.5000 0.5000 0.5000
```



(2)
This record from Alexandria via LeMat-Bulk describes Sr2WSe after structural relaxation. The functional is PBE.

Raw formation energy   0.74 eV/f.u.
Volume   27.17 A^3/atom
Magnetic moment   0.00 μB/cell
Space group   Imm2

Structure (CIF):
```
data_Sr2WSe
_space_group_name_H-M_alt 'P 1'
_space_group_IT_number 1
_space_group_name_Hall 'P 1'
_cell_length_a 6.5643
_cell_length_b 6.5643
_cell_length_c 6.5643
_cell_angle_alpha 149.56
_cell_angle_beta 130.14
_cell_angle_gamma 59.55
loop_
_atom_site_label
_atom_site_type_symbol
_atom_site_fract_x
_atom_site_fract_y
_atom_site_fract_z
Sr1 Sr 0.0000 0.0000 0.0000
Sr2 Sr 0.6884 0.1884 0.5000
W1 W 0.2801 0.7801 0.5000
Se1 Se 0.4437 0.4437 0.0000
```



(3)
This record from Alexandria via LeMat-Bulk describes BeInTe2 after structural relaxation. The functional is PBE.

Raw formation energy   -0.71 eV/f.u.
Volume   30.91 A^3/atom
Magnetic moment   0.00 μB/cell
Space group   I-42d

Structure (CIF):
```
data_BeInTe2
_space_group_name_H-M_alt 'P 1'
_space_group_IT_number 1
_space_group_name_Hall 'P 1'
_cell_length_a 7.3806
_cell_length_b 7.3806
_cell_length_c 7.3806
_cell_angle_alpha 127.20
_cell_angle_beta 127.20
_cell_angle_gamma 77.93
loop_
_atom_site_label
_atom_site_type_symbol
_atom_site_fract_x
_atom_site_fract_y
_atom_site_fract_z
Be1 Be 0.0000 0.0000 0.0000
Be2 Be 0.7500 0.2500 0.5000
In1 In 0.2500 0.7500 0.5000
In2 In 0.5000 0.5000 0.0000
Te1 Te 0.0487 0.6250 0.9237
Te2 Te 0.3750 0.2987 0.4237
Te3 Te 0.7013 0.1250 0.0763
Te4 Te 0.8750 0.9513 0.5763
```



(4)
This record from Alexandria via LeMat-Bulk describes Hf2ZnS after structural relaxation. The functional is PBE.

Raw formation energy   -1.30 eV/f.u.
Volume   17.48 A^3/atom
Magnetic moment   0.00 μB/cell
Space group   Fm-3m

Structure (CIF):
```
data_Hf2ZnS
_space_group_name_H-M_alt 'P 1'
_space_group_IT_number 1
_space_group_name_Hall 'P 1'
_cell_length_a 4.6239
_cell_length_b 4.6239
_cell_length_c 4.6239
_cell_angle_alpha 60.00
_cell_angle_beta 60.00
_cell_angle_gamma 60.00
loop_
_atom_site_label
_atom_site_type_symbol
_atom_site_fract_x
_atom_site_fract_y
_atom_site_fract_z
Hf1 Hf 0.2500 0.2500 0.2500
Hf2 Hf 0.7500 0.7500 0.7500
Zn1 Zn 0.0000 0.0000 0.0000
S1 S 0.5000 0.5000 0.5000
```